Record 1
A plane-wave DFT calculation with PBE was carried out for crystalline CsNaBi2 at its relaxed geometry.

The structure in POSCAR format:
```
CsNaBi2
1.0
-3.890 0.096 3.936
-3.879 -1.040 -3.808
-2.470 -11.880 1.739
Na Bi Cs
2 4 2
Direct
0.500 0.500 0.000
0.250 0.750 0.500
0.225 0.625 0.250
0.375 0.475 0.750
0.525 0.125 0.250
0.875 0.775 0.750
0.750 0.250 0.500
0.000 0.000 0.000
```

N(E_F) (states/eV/f.u.): 2.766
SG: I-42d, No. 122
ΔE to the lowest computed polymorph (meV/atom): 138
ρ (g/cm3): 5.356
E (eV/atom): -2.62
Formation energy from the elements (eV/f.u.): -0.53

=====

Record 2
A plane-wave DFT calculation with PBE was carried out for crystalline CrNiHIr at its relaxed geometry.

The structure in POSCAR format:
```
CrNiHIr
1.0
-4.301 -0.233 0.230
0.190 -2.446 1.072
0.190 2.838 6.438
Ir Cr H Ni
2 2 2 2
Direct
0.000 0.000 0.835
0.500 0.500 0.335
0.000 0.000 0.214
0.500 0.500 0.714
0.500 0.000 0.523
0.000 0.500 0.023
0.000 0.500 0.524
0.500 0.000 0.024
```

N(E_F) (states/eV/f.u.): 5.015
SG: Imm2, No. 44
ΔE to the lowest computed polymorph (meV/atom): 209
ρ (g/cm3): 12.418
E (eV/atom): -6.79

=====

Record 3
A plane-wave DFT calculation with PBE was carried out for crystalline CaNi2SbMo at its relaxed geometry.

The structure in POSCAR format:
```
CaNi2SbMo
1.0
4.471 0.000 0.000
0.000 5.240 0.000
0.000 0.000 4.471
Mo Sb Ca Ni
1 1 1 2
Direct
0.000 0.500 0.000
0.500 0.500 0.500
0.000 0.000 0.000
0.500 0.000 0.000
0.000 0.000 0.500
```

N(E_F) (states/eV/f.u.): 4.427
Energy relative to the elements, uncorrected (eV/atom): 1.64
SG: P4/mmm, No. 123
ρ (g/cm3): 5.948
E (eV/atom): -4.06